Record 1
The following is a PBE-GGA calculation of an optimized crystal structure of BaTaTl2, from Alexandria.

**Space-group type**: Pmmm (47)

Lattice parameters (Å, degrees): 4.2706 3.3057 8.4502 66.96 90.00 90.00
Last column: nearest neighbours and their distance in Å.
Sites, in units of the cell vectors:
Tl 0.0000 0.0524 0.9479  3 Tl 3.08-3.31, 4 Ta 3.11
Tl 0.0000 0.4476 0.5521  3 Tl 3.08-3.31, 4 Ta 3.11
Ba 0.5000 0.2500 0.2500  2 Ba 3.31, 8 Tl 3.58
Ta 0.5000 0.7500 0.7500  8 Tl 3.11, 2 Ta 3.31



Record 2
The following is a PBE-GGA calculation of an optimized crystal structure of CsScAgSe2, from Alexandria.

**Space-group type**: Cmme (67)

Lattice parameters (Å, degrees): 6.0387 6.6840 8.4259 113.37 90.00 90.00
Last column: nearest neighbours and their distance in Å.
Sites, in units of the cell vectors:
Cs 0.2115 0.7500 0.5000  8 Se 3.60-4.02
Cs 0.7885 0.2500 0.5000  8 Se 3.60-4.02
Sc 0.5000 0.7500 0.0000  4 Se 2.65
Sc 0.5000 0.2500 0.0000  4 Se 2.65
Ag 0.0000 0.0000 0.0000  2 Se 2.54
Ag 0.0000 0.5000 0.0000  2 Se 2.54
Se 0.6894 0.8892 0.7784  1 Ag 2.54, 2 Sc 2.65
Se 0.6894 0.6108 0.2216  1 Ag 2.54, 2 Sc 2.65
Se 0.3106 0.3892 0.7784  1 Ag 2.54, 2 Sc 2.65
Se 0.3106 0.1108 0.2216  1 Ag 2.54, 2 Sc 2.65



Record 3
The following is a PBE-GGA calculation of an optimized crystal structure of Cd2InAg, from Alexandria.

**Space-group type**: C2/m (12)

Lattice parameters (Å, degrees): 5.4789 5.4789 5.2784 82.22 82.22 33.97
Last column: nearest neighbours and their distance in Å.
Sites, in units of the cell vectors:
Cd 0.9922 0.9922 0.0092  6 Cd 3.03-3.20, 3 In 3.05-3.27, 3 Ag 3.12-3.14
Cd 0.5078 0.5078 0.4908  6 Cd 3.03-3.20, 3 In 3.05-3.27, 3 Ag 3.12-3.14
Ag 0.2500 0.2500 0.2500  4 In 3.09, 6 Cd 3.12-3.14, 2 Ag 3.20
In 0.7500 0.7500 0.7500  6 Cd 3.05-3.27, 4 Ag 3.09, 2 In 3.20



Record 4
The following is a PBE-GGA calculation of an optimized crystal structure of BaAuIO6, from Alexandria.

**Space-group type**: P1 (1)

Lattice parameters (Å, degrees): 5.4473 5.8782 5.6692 93.50 91.93 57.44
Last column: nearest neighbours and their distance in Å.
Sites, in units of the cell vectors:
Ba 0.0451 0.9778 0.0005  6 O 2.68-2.75
Au 0.6734 0.6637 0.5005  4 O 2.02-2.08
I 0.3523 0.3237 0.4999  6 O 1.83-2.00
O 0.0175 0.3713 0.3078  1 I 1.99, 1 Au 2.02
O 0.3508 0.0305 0.6583  1 I 2.00, 1 Au 2.08
O 0.5969 0.3216 0.7310  1 I 1.83
O 0.0193 0.6104 0.6930  1 I 1.99, 1 Au 2.03
O 0.3508 0.6187 0.3417  1 I 2.00, 1 Au 2.08
O 0.5936 0.0824 0.2671  1 I 1.83



Record 5
The following is a PBE-GGA calculation of an optimized crystal structure of Be3GaB, from Alexandria.

**Space-group type**: Pm-3m (221)

Lattice parameters (Å, degrees): 3.7600 3.7600 3.7600 90.00 90.00 90.00
Last column: nearest neighbours and their distance in Å.
Sites, in units of the cell vectors:
Be 0.0000 0.5000 0.0000  2 B 1.88
Be 0.0000 0.0000 0.5000  2 B 1.88
Be 0.5000 0.0000 0.0000  2 B 1.88
B 0.0000 0.0000 0.0000  6 Be 1.88
Ga 0.5000 0.5000 0.5000  12 Be 2.66



Record 6
The following is a PBE-GGA calculation of an optimized crystal structure of PmTm2In2, from Alexandria.

**Space-group type**: I4/mmm (139)

Lattice parameters (Å, degrees): 4.6028 4.6028 14.6654 99.03 99.03 90.00
Last column: nearest neighbours and their distance in Å.
Sites, in units of the cell vectors:
Pm 0.6349 0.6349 0.2697  4 In 3.46, 4 Tm 3.70
Pm 0.3651 0.3651 0.7303  4 In 3.46, 4 Tm 3.70
Tm 0.7500 0.2500 0.5000  4 In 3.13, 4 Tm 3.25
Tm 0.9267 0.9267 0.8534  5 In 2.93-3.11
Tm 0.0733 0.0733 0.1466  5 In 2.93-3.11
Tm 0.2500 0.7500 0.5000  4 In 3.13, 4 Tm 3.25
In 0.0000 0.5000 0.0000  4 Tm 3.11, 4 In 3.25
In 0.1756 0.1756 0.3512  5 Tm 2.93-3.13
In 0.5000 0.0000 0.0000  4 Tm 3.11, 4 In 3.25
In 0.8244 0.8244 0.6488  5 Tm 2.93-3.13



Record 7
The following is a PBE-GGA calculation of an optimized crystal structure of ZrSeIN2, from Alexandria.

**Space-group type**: P4/mmm (123)

Lattice parameters (Å, degrees): 4.0781 4.0781 5.3691 90.00 90.00 90.00
Last column: nearest neighbours and their distance in Å.
Sites, in units of the cell vectors:
I 0.0000 0.0000 0.0000  4 N 2.04
Se 0.0000 0.0000 0.5000  2 I 2.68, 4 Zr 2.88
Zr 0.5000 0.5000 0.5000  4 Se 2.88
N 0.0000 0.5000 0.0000  2 I 2.04
N 0.5000 0.0000 0.0000  2 I 2.04



Record 8
The following is a PBE-GGA calculation of an optimized crystal structure of Sm3Si5Pd12, from Alexandria.

**Space-group type**: Ia-3d (230)

Lattice parameters (Å, degrees): 12.9187 12.9187 12.9187 109.47 109.47 109.47
Last column: nearest neighbours and their distance in Å.
Sites, in units of the cell vectors:
Sm 0.7500 0.3750 0.1250  4 Pd 2.82
Sm 0.8750 0.7500 0.1250  4 Pd 2.82
Sm 0.3750 0.7500 0.6250  4 Pd 2.82
Sm 0.2500 0.1250 0.3750  4 Pd 2.82
Sm 0.8750 0.1250 0.2500  4 Pd 2.82
Sm 0.3750 0.6250 0.2500  4 Pd 2.82
Sm 0.6250 0.3750 0.7500  4 Pd 2.82
Sm 0.1250 0.8750 0.7500  4 Pd 2.82
Sm 0.7500 0.8750 0.6250  4 Pd 2.82
Sm 0.6250 0.2500 0.3750  4 Pd 2.82
Sm 0.1250 0.2500 0.8750  4 Pd 2.82
Sm 0.2500 0.6250 0.8750  4 Pd 2.82
Si 0.1250 0.3750 0.2500  4 Pd 2.35
Si 0.0000 0.5000 0.0000  6 Pd 2.31
Si 0.0000 0.0000 0.0000  6 Pd 2.31
Si 0.3750 0.2500 0.1250  4 Pd 2.35
Si 0.5000 0.0000 0.5000  6 Pd 2.31
Si 0.5000 0.5000 0.0000  6 Pd 2.31
Si 0.1250 0.7500 0.3750  4 Pd 2.35
Si 0.7500 0.1250 0.8750  4 Pd 2.35
Si 0.7500 0.6250 0.3750  4 Pd 2.35
Si 0.3750 0.1250 0.7500  4 Pd 2.35
Si 0.6250 0.8750 0.2500  4 Pd 2.35
Si 0.5000 0.5000 0.5000  6 Pd 2.31
Si 0.5000 0.0000 0.0000  6 Pd 2.31
Si 0.0000 0.0000 0.5000  6 Pd 2.31
Si 0.2500 0.3750 0.6250  4 Pd 2.35
Si 0.2500 0.8750 0.1250  4 Pd 2.35
Si 0.0000 0.5000 0.5000  6 Pd 2.31
Si 0.8750 0.2500 0.6250  4 Pd 2.35
Si 0.6250 0.7500 0.8750  4 Pd 2.35
Si 0.8750 0.6250 0.7500  4 Pd 2.35
Pd 0.6992 0.0902 0.0230  2 Si 2.31-2.35
Pd 0.3238 0.5230 0.4328  2 Si 2.31-2.35
Pd 0.9770 0.4098 0.3008  2 Si 2.31-2.35
Pd 0.5230 0.1992 0.0902  2 Si 2.31-2.35
Pd 0.6090 0.6992 0.6762  2 Si 2.31-2.35
Pd 0.9770 0.5672 0.1762  2 Si 2.31-2.35
Pd 0.3238 0.8008 0.3910  2 Si 2.31-2.35
Pd 0.0672 0.8910 0.0902  2 Si 2.31-2.35
Pd 0.5672 0.9770 0.6762  2 Si 2.31-2.35
Pd 0.6992 0.6090 0.1762  2 Si 2.31-2.35
Pd 0.8008 0.4770 0.4098  2 Si 2.31-2.35
Pd 0.8238 0.9328 0.0230  2 Si 2.31-2.35
Pd 0.0902 0.6992 0.5230  2 Si 2.31-2.35
Pd 0.4098 0.4328 0.1090  2 Si 2.31-2.35
Pd 0.1090 0.9328 0.4098  2 Si 2.31-2.35
Pd 0.3910 0.0902 0.5672  2 Si 2.31-2.35
Pd 0.1090 0.1762 0.1992  2 Si 2.31-2.35
Pd 0.4770 0.6762 0.0672  2 Si 2.31-2.35
Pd 0.8238 0.8910 0.3008  2 Si 2.31-2.35
Pd 0.0902 0.3910 0.0672  2 Si 2.31-2.35
Pd 0.4098 0.9770 0.8008  2 Si 2.31-2.35
Pd 0.5672 0.5902 0.3910  2 Si 2.31-2.35
Pd 0.9328 0.8238 0.5230  2 Si 2.31-2.35
Pd 0.8008 0.3238 0.8910  2 Si 2.31-2.35
Pd 0.4328 0.4098 0.6090  2 Si 2.31-2.35
Pd 0.0672 0.1762 0.4770  2 Si 2.31-2.35
Pd 0.1992 0.6762 0.1090  2 Si 2.31-2.35
Pd 0.1762 0.1090 0.6992  2 Si 2.31-2.35
Pd 0.5902 0.0230 0.1992  2 Si 2.31-2.35
Pd 0.9098 0.6090 0.9328  2 Si 2.31-2.35
Pd 0.5230 0.3238 0.9328  2 Si 2.31-2.35
Pd 0.6090 0.9098 0.4328  2 Si 2.31-2.35
Pd 0.8910 0.8238 0.8008  2 Si 2.31-2.35
Pd 0.8910 0.0672 0.5902  2 Si 2.31-2.35
Pd 0.9098 0.3008 0.4770  2 Si 2.31-2.35
Pd 0.1762 0.0672 0.9770  2 Si 2.31-2.35
Pd 0.5902 0.5672 0.8910  2 Si 2.31-2.35
Pd 0.4328 0.0230 0.3238  2 Si 2.31-2.35
Pd 0.3008 0.3910 0.8238  2 Si 2.31-2.35
Pd 0.1992 0.5230 0.5902  2 Si 2.31-2.35
Pd 0.9328 0.1090 0.9098  2 Si 2.31-2.35
Pd 0.6762 0.1992 0.6090  2 Si 2.31-2.35
Pd 0.4770 0.8008 0.9098  2 Si 2.31-2.35
Pd 0.0230 0.4328 0.8238  2 Si 2.31-2.35
Pd 0.3910 0.3008 0.3238  2 Si 2.31-2.35
Pd 0.0230 0.5902 0.6992  2 Si 2.31-2.35
Pd 0.6762 0.4770 0.5672  2 Si 2.31-2.35
Pd 0.3008 0.9098 0.9770  2 Si 2.31-2.35



Record 9
The following is a PBE-GGA calculation of an optimized crystal structure of Nd7Y4Ho, from Alexandria.

**Space-group type**: P-1 (2)

Lattice parameters (Å, degrees): 6.0967 9.4758 10.0518 74.79 91.24 49.91
Last column: nearest neighbours and their distance in Å.
Sites, in units of the cell vectors:
Nd 0.7118 0.5348 0.9302  3 Nd 3.27-3.33, 2 Y 3.62-3.63
Nd 0.2882 0.4652 0.0698  3 Nd 3.27-3.33, 2 Y 3.62-3.63
Nd 0.0593 0.1875 0.6249  5 Nd 3.59-3.81, 6 Y 3.69-3.80, 1 Ho 3.86
Nd 0.9407 0.8125 0.3751  5 Nd 3.59-3.81, 6 Y 3.69-3.80, 1 Ho 3.86
Nd 0.5546 0.7092 0.5816  5 Nd 3.27-3.65, 2 Y 3.49
Nd 0.5000 0.0000 0.0000  2 Ho 3.05
Nd 0.4454 0.2908 0.4184  5 Nd 3.27-3.65, 2 Y 3.49
Y 0.6447 0.5941 0.2732  1 Y 3.34, 6 Nd 3.49-3.69, 1 Ho 3.51
Y 0.3553 0.4059 0.7268  1 Y 3.34, 6 Nd 3.49-3.69, 1 Ho 3.51
Y 0.8944 0.8671 0.7267  1 Y 3.34, 6 Nd 3.49-3.70, 1 Ho 3.51
Y 0.1056 0.1329 0.2733  1 Y 3.34, 6 Nd 3.49-3.70, 1 Ho 3.51
Ho 0.0000 0.0000 0.0000  2 Nd 3.05



Record 10
The following is a PBE-GGA calculation of an optimized crystal structure of Mg3AsN, from Alexandria.

**Space-group type**: Cmc2_1 (36)

Lattice parameters (Å, degrees): 4.2673 7.3683 5.9451 90.01 90.00 73.19
Last column: nearest neighbours and their distance in Å.
Sites, in units of the cell vectors:
Mg 0.8707 0.8208 0.7105  2 N 2.05-2.09
Mg 0.9911 0.5800 0.2107  2 N 2.05-2.09
Mg 0.7426 0.0778 0.2629  1 N 2.06
Mg 0.3617 0.8398 0.0597  2 N 2.13
Mg 0.5008 0.5605 0.5602  2 N 2.13
Mg 0.1194 0.3228 0.7631  1 N 2.06
As 0.2841 0.9946 0.5356  5 Mg 2.67-2.74
As 0.5780 0.4059 0.0357  5 Mg 2.67-2.74
N 0.0036 0.5550 0.5543  5 Mg 2.05-2.13
N 0.8588 0.8456 0.0541  5 Mg 2.05-2.13



Number 1: uncorrected energy -4.27 eV per atom. Number 2: uncorrected energy -4.40 eV per atom. Number 3: uncorrected energy -1.85 eV per atom. Number 4: uncorrected energy -4.92 eV per atom. Number 5: uncorrected energy -3.83 eV per atom. Number 6: uncorrected energy -3.99 eV per atom. Number 7: uncorrected energy -4.63 eV per atom. Number 8: uncorrected energy -5.52 eV per atom. Number 9: uncorrected energy -5.18 eV per atom. Number 10: uncorrected energy -4.17 eV per atom.